Density functional theory data (PBE) for crystalline MgBrO2F at its relaxed geometry.

Results
* ΔE_f (raw): -0.740 eV/atom

Geometry as POSCAR:
```
MgBrO2F
1.0
-3.536 2.051 -0.445
-1.953 -2.896 2.169
0.694 1.875 3.128
Mg O Br F
1 2 1 1
Direct
0.000 0.000 0.000
0.000 0.500 0.000
0.500 0.000 0.000
0.500 0.500 0.500
0.000 0.000 0.500
```